(1)
{"formula": "ZrScOs", "functional": "PBEsol", "state": "optimized geometry", "e_form_ev_per_atom": 0.0311, "density_g_cm3": 9.43, "spacegroup": "P3m1", "energy_ev_per_atom": -9.272, "lattice": [[3.128, 0.000, 0.000], [-1.564, 2.709, 0.000], [0.000, 0.000, 6.787]], "species": ["Zr", "Sc", "Os"], "fractional_positions": [[0.000, 0.000, 0.000], [0.667, 0.333, 0.408], [0.333, 0.667, 0.703]]}

***

(2)
{"formula": "Ti2GaCu2", "functional": "PBEsol", "state": "optimized geometry", "e_form_ev_per_atom": -0.2035, "density_g_cm3": 6.85, "spacegroup": "P4/mbm", "energy_ev_per_atom": -5.934, "lattice": [[6.604, 0.000, 0.000], [0.000, 6.604, 0.000], [0.000, 0.000, 3.251]], "species": ["Ti", "Ti", "Ti", "Ti", "Ga", "Ga", "Cu", "Cu", "Cu", "Cu"], "fractional_positions": [[0.172, 0.328, 0.000], [0.328, 0.828, 0.000], [0.672, 0.172, 0.000], [0.828, 0.672, 0.000], [0.000, 0.000, 0.500], [0.500, 0.500, 0.500], [0.127, 0.627, 0.500], [0.373, 0.127, 0.500], [0.627, 0.873, 0.500], [0.873, 0.373, 0.500]]}

***

(3)
{"formula": "AgAu", "functional": "PBEsol", "state": "optimized geometry", "e_form_ev_per_atom": -0.0160, "density_g_cm3": 15.11, "spacegroup": "P-3m1", "energy_ev_per_atom": -3.634, "lattice": [[2.847, 0.000, 0.000], [-1.424, 2.466, 0.000], [0.000, 0.000, 9.544]], "species": ["Ag", "Ag", "Au", "Au"], "fractional_positions": [[0.333, 0.667, 0.378], [0.667, 0.333, 0.622], [0.333, 0.667, 0.872], [0.667, 0.333, 0.128]]}

***

(4)
{"formula": "CdHg2Pb", "functional": "PBEsol", "state": "optimized geometry", "e_form_ev_per_atom": 0.0335, "density_g_cm3": 12.35, "spacegroup": "Pmm2", "energy_ev_per_atom": -1.549, "lattice": [[3.392, 0.000, 0.000], [0.000, 4.506, 0.000], [0.000, 0.000, 6.343]], "species": ["Cd", "Hg", "Hg", "Pb"], "fractional_positions": [[0.000, 0.000, 0.000], [0.000, 0.000, 0.473], [0.500, 0.500, 0.232], [0.500, 0.500, 0.736]]}

***

(5)
{"formula": "Sc2SiBr", "functional": "PBEsol", "state": "optimized geometry", "density_g_cm3": 4.15, "polymorph_energy_mev_per_atom": 0, "spacegroup": "P4/mmm", "e_form_raw_ev_per_atom": -0.875, "energy_ev_per_atom": -6.082, "lattice": [[3.839, 0.000, 0.000], [0.000, 3.839, 0.000], [0.000, 0.000, 5.374]], "species": ["Sc", "Sc", "Si", "Br"], "fractional_positions": [[0.000, 0.000, 0.000], [0.500, 0.500, 0.500], [0.000, 0.000, 0.500], [0.500, 0.500, 0.000]]}

***

(6)
{"formula": "K3Sr", "functional": "PBEsol", "state": "optimized geometry", "e_form_ev_per_atom": 0.0917, "density_g_cm3": 1.33, "polymorph_energy_mev_per_atom": 32, "spacegroup": "P2/m", "energy_ev_per_atom": -1.218, "lattice": [[4.291, 0.000, 0.000], [0.000, 7.195, 0.000], [-1.334, 0.000, 8.295]], "species": ["K", "K", "K", "Sr"], "fractional_positions": [[0.000, 0.000, 0.000], [0.200, 0.500, 0.744], [0.800, 0.500, 0.256], [0.500, 0.000, 0.500]]}

***

(7)
{"formula": "LiLaPb2", "functional": "PBEsol", "state": "optimized geometry", "e_form_ev_per_atom": -0.4920, "density_g_cm3": 8.63, "spacegroup": "P4/mmm", "energy_ev_per_atom": -4.320, "lattice": [[4.841, 0.000, 0.000], [0.000, 4.841, 0.000], [0.000, 0.000, 4.602]], "species": ["Li", "La", "Pb", "Pb"], "fractional_positions": [[0.000, 0.000, 0.000], [0.500, 0.500, 0.000], [0.000, 0.500, 0.500], [0.500, 0.000, 0.500]]}

***

(8)
{"formula": "ReMo5", "functional": "PBEsol", "state": "optimized geometry", "e_form_ev_per_atom": 0.0205, "density_g_cm3": 12.15, "polymorph_energy_mev_per_atom": 0, "spacegroup": "Cmmm", "energy_ev_per_atom": -12.008, "lattice": [[2.206, -4.677, 0.000], [2.206, 4.677, 0.000], [0.000, 0.000, 4.409]], "species": ["Re", "Mo", "Mo", "Mo", "Mo", "Mo"], "fractional_positions": [[0.000, 0.000, 0.000], [0.167, 0.833, 0.500], [0.334, 0.666, 0.000], [0.500, 0.500, 0.500], [0.666, 0.334, 0.000], [0.833, 0.167, 0.500]]}

***

(9)
{"formula": "Ca2AgBPd", "functional": "PBEsol", "state": "optimized geometry", "e_form_ev_per_atom": 1.0120, "density_g_cm3": 3.61, "spacegroup": "P4/mmm", "energy_ev_per_atom": -3.098, "lattice": [[5.392, 0.000, 0.000], [0.000, 5.392, 0.000], [0.000, 0.000, 4.825]], "species": ["Ca", "Ca", "Ag", "B", "Pd"], "fractional_positions": [[0.000, 0.500, 0.000], [0.500, 0.000, 0.000], [0.000, 0.000, 0.000], [0.500, 0.500, 0.500], [0.000, 0.000, 0.500]]}

***

(10)
{"formula": "CrB3Se", "functional": "PBEsol", "state": "optimized geometry", "density_g_cm3": 4.11, "spacegroup": "Pm-3m", "e_form_raw_ev_per_atom": 2.117, "energy_ev_per_atom": -4.912, "lattice": [[4.041, 0.000, 0.000], [0.000, 4.041, 0.000], [0.000, 0.000, 4.041]], "species": ["Cr", "B", "B", "B", "Se"], "fractional_positions": [[0.000, 0.000, 0.000], [0.000, 0.500, 0.500], [0.500, 0.000, 0.500], [0.500, 0.500, 0.000], [0.500, 0.500, 0.500]]}

***

(11)
{"formula": "PrHoTl2", "functional": "PBEsol", "state": "optimized geometry", "e_form_ev_per_atom": -0.4240, "density_g_cm3": 10.94, "spacegroup": "Fm-3m", "energy_ev_per_atom": -4.273, "lattice": [[0.000, 3.786, 3.786], [3.786, 0.000, 3.786], [3.786, 3.786, 0.000]], "species": ["Pr", "Ho", "Tl", "Tl"], "fractional_positions": [[0.000, 0.000, 0.000], [0.500, 0.500, 0.500], [0.250, 0.250, 0.250], [0.750, 0.750, 0.750]]}

***

(12)
{"formula": "Zr2InCo", "functional": "PBEsol", "state": "optimized geometry", "e_form_ev_per_atom": -0.3028, "density_g_cm3": 8.04, "spacegroup": "P2/m", "energy_ev_per_atom": -7.528, "lattice": [[3.030, 0.000, 0.000], [0.000, 3.030, 0.000], [-0.013, 0.000, 8.015]], "species": ["Zr", "Zr", "In", "Co"], "fractional_positions": [[0.001, 0.000, 0.293], [0.999, 0.000, 0.707], [0.500, 0.500, 0.000], [0.500, 0.500, 0.500]]}

***

(13)
{"formula": "Zr3Cu4", "functional": "PBEsol", "state": "optimized geometry", "e_form_ev_per_atom": -0.1272, "density_g_cm3": 7.83, "spacegroup": "I4/mmm", "energy_ev_per_atom": -6.499, "lattice": [[-1.626, 1.626, 10.592], [1.626, -1.626, 10.592], [1.626, 1.626, -10.592]], "species": ["Zr", "Zr", "Zr", "Cu", "Cu", "Cu", "Cu"], "fractional_positions": [[0.000, 0.000, 0.000], [0.298, 0.298, 0.000], [0.702, 0.702, 0.000], [0.128, 0.128, 0.000], [0.428, 0.428, 0.000], [0.572, 0.572, 0.000], [0.872, 0.872, 0.000]]}

***

(14)
{"formula": "HgI3N", "functional": "PBEsol", "state": "optimized geometry", "density_g_cm3": 5.10, "spacegroup": "Pm-3m", "e_form_raw_ev_per_atom": 1.131, "energy_ev_per_atom": -1.748, "lattice": [[5.786, 0.000, 0.000], [0.000, 5.786, 0.000], [0.000, 0.000, 5.786]], "species": ["Hg", "I", "I", "I", "N"], "fractional_positions": [[0.000, 0.000, 0.000], [0.000, 0.000, 0.500], [0.000, 0.500, 0.000], [0.500, 0.000, 0.000], [0.500, 0.500, 0.500]]}

***

(15)
{"formula": "NaHfFeO2", "functional": "PBEsol", "state": "optimized geometry", "density_g_cm3": 7.56, "spacegroup": "P4/mmm", "e_form_raw_ev_per_atom": 0.386, "energy_ev_per_atom": -5.887, "lattice": [[3.961, 0.000, 0.000], [0.000, 3.961, 0.000], [0.000, 0.000, 4.048]], "species": ["Na", "Hf", "Fe", "O", "O"], "fractional_positions": [[0.000, 0.000, 0.000], [0.500, 0.500, 0.500], [0.000, 0.000, 0.500], [0.000, 0.500, 0.000], [0.500, 0.000, 0.000]]}

***

(16)
{"formula": "Sr3Ca2", "functional": "PBEsol", "state": "optimized geometry", "e_form_ev_per_atom": 0.0216, "density_g_cm3": 2.42, "spacegroup": "R-3m", "energy_ev_per_atom": -1.936, "lattice": [[2.030, 1.172, 16.490], [-2.030, 1.172, 16.490], [0.000, -2.344, 16.490]], "species": ["Sr", "Sr", "Sr", "Ca", "Ca"], "fractional_positions": [[0.000, 0.000, 0.000], [0.202, 0.202, 0.202], [0.798, 0.798, 0.798], [0.399, 0.399, 0.399], [0.601, 0.601, 0.601]]}

***

(17)
{"formula": "CdMoRu", "functional": "PBEsol", "state": "optimized geometry", "e_form_ev_per_atom": 0.3814, "density_g_cm3": 10.81, "polymorph_energy_mev_per_atom": 187, "spacegroup": "P3m1", "energy_ev_per_atom": -7.331, "lattice": [[4.384, 0.000, 0.000], [-2.192, 3.797, 0.000], [0.000, 0.000, 2.856]], "species": ["Cd", "Mo", "Ru"], "fractional_positions": [[0.000, 0.000, 0.000], [0.333, 0.667, 0.561], [0.667, 0.333, 0.419]]}

***

(18)
{"formula": "MnCdTe2", "functional": "PBEsol", "state": "optimized geometry", "density_g_cm3": 5.46, "spacegroup": "R3m", "e_form_raw_ev_per_atom": -0.111, "energy_ev_per_atom": -4.613, "lattice": [[2.258, 1.304, 7.278], [-2.258, 1.304, 7.278], [0.000, -2.607, 7.278]], "species": ["Mn", "Cd", "Te", "Te"], "fractional_positions": [[0.000, 0.000, 0.000], [0.503, 0.503, 0.503], [0.123, 0.123, 0.123], [0.631, 0.631, 0.631]]}

***

(19)
{"formula": "ScBe2Ir2", "functional": "PBEsol", "state": "optimized geometry", "e_form_ev_per_atom": -0.7246, "density_g_cm3": 12.03, "polymorph_energy_mev_per_atom": 0, "spacegroup": "P4/mbm", "energy_ev_per_atom": -7.575, "lattice": [[6.583, 0.000, 0.000], [0.000, 6.583, 0.000], [0.000, 0.000, 2.849]], "species": ["Sc", "Sc", "Be", "Be", "Be", "Be", "Ir", "Ir", "Ir", "Ir"], "fractional_positions": [[0.000, 0.000, 0.000], [0.500, 0.500, 0.000], [0.119, 0.381, 0.000], [0.381, 0.881, 0.000], [0.619, 0.119, 0.000], [0.881, 0.619, 0.000], [0.170, 0.670, 0.500], [0.330, 0.170, 0.500], [0.670, 0.830, 0.500], [0.830, 0.330, 0.500]]}

***

(20)
{"formula": "SrTcRu2", "functional": "PBEsol", "state": "optimized geometry", "e_form_ev_per_atom": 0.5207, "density_g_cm3": 9.36, "polymorph_energy_mev_per_atom": 0, "spacegroup": "P4/mmm", "energy_ev_per_atom": -7.842, "lattice": [[2.950, 0.000, 0.000], [0.000, 2.950, 0.000], [0.000, 0.000, 7.902]], "species": ["Sr", "Tc", "Ru", "Ru"], "fractional_positions": [[0.000, 0.000, 0.000], [0.000, 0.000, 0.500], [0.500, 0.500, 0.304], [0.500, 0.500, 0.696]]}

***

(21)
{"formula": "CoPb2Cl", "functional": "PBEsol", "state": "optimized geometry", "density_g_cm3": 10.04, "polymorph_energy_mev_per_atom": 0, "spacegroup": "Cmmm", "e_form_raw_ev_per_atom": 0.209, "energy_ev_per_atom": -4.226, "lattice": [[3.665, -3.668, 0.000], [3.665, 3.668, 0.000], [0.000, 0.000, 3.129]], "species": ["Co", "Pb", "Pb", "Cl"], "fractional_positions": [[0.000, 0.000, 0.000], [0.000, 0.500, 0.500], [0.500, 0.000, 0.500], [0.500, 0.500, 0.000]]}

***

(22)
{"formula": "ZnNi2", "functional": "PBEsol", "state": "optimized geometry", "e_form_ev_per_atom": -0.1277, "density_g_cm3": 9.11, "spacegroup": "C2/m", "energy_ev_per_atom": -4.760, "lattice": [[4.597, -1.262, 0.000], [4.597, 1.262, 0.000], [-1.762, 0.000, 5.741]], "species": ["Zn", "Zn", "Ni", "Ni", "Ni", "Ni"], "fractional_positions": [[0.188, 0.188, 0.145], [0.812, 0.812, 0.855], [0.138, 0.138, 0.529], [0.468, 0.468, 0.199], [0.532, 0.532, 0.801], [0.862, 0.862, 0.471]]}

***

(23)
{"formula": "Tl3In", "functional": "PBEsol", "state": "optimized geometry", "e_form_ev_per_atom": 0.0145, "density_g_cm3": 10.96, "spacegroup": "Fm-3m", "energy_ev_per_atom": -2.704, "lattice": [[0.000, 3.806, 3.806], [3.806, 0.000, 3.806], [3.806, 3.806, 0.000]], "species": ["Tl", "Tl", "Tl", "In"], "fractional_positions": [[0.000, 0.000, 0.000], [0.250, 0.250, 0.250], [0.750, 0.750, 0.750], [0.500, 0.500, 0.500]]}

***

(24)
{"formula": "Na3Mg", "functional": "PBEsol", "state": "optimized geometry", "e_form_ev_per_atom": 0.0891, "density_g_cm3": 1.23, "spacegroup": "Pm-3m", "energy_ev_per_atom": -1.390, "lattice": [[5.015, 0.000, 0.000], [0.000, 5.015, 0.000], [0.000, 0.000, 5.015]], "species": ["Na", "Na", "Na", "Mg"], "fractional_positions": [[0.000, 0.000, 0.500], [0.000, 0.500, 0.000], [0.500, 0.000, 0.000], [0.500, 0.500, 0.500]]}

***

(25)
{"formula": "MgScMnP2", "functional": "PBEsol", "state": "optimized geometry", "e_form_ev_per_atom": 1.0212, "density_g_cm3": 2.86, "spacegroup": "P4/mmm", "energy_ev_per_atom": -4.912, "lattice": [[4.655, 0.000, 0.000], [0.000, 4.655, 0.000], [0.000, 0.000, 4.985]], "species": ["Mg", "Sc", "Mn", "P", "P"], "fractional_positions": [[0.000, 0.000, 0.000], [0.000, 0.000, 0.500], [0.500, 0.500, 0.500], [0.000, 0.500, 0.000], [0.500, 0.000, 0.000]]}

***

(26)
{"formula": "Mo2RuPt", "functional": "PBEsol", "state": "optimized geometry", "e_form_ev_per_atom": 0.0567, "density_g_cm3": 13.70, "polymorph_energy_mev_per_atom": 259, "spacegroup": "R3m", "energy_ev_per_atom": -10.111, "lattice": [[1.368, 0.790, 9.123], [-1.368, 0.790, 9.123], [0.000, -1.580, 9.123]], "species": ["Mo", "Mo", "Ru", "Pt"], "fractional_positions": [[0.000, 0.000, 0.000], [0.244, 0.244, 0.244], [0.743, 0.743, 0.743], [0.495, 0.495, 0.495]]}

***

(27)
{"formula": "ZnCdFe2", "functional": "PBEsol", "state": "optimized geometry", "e_form_ev_per_atom": 0.2548, "density_g_cm3": 8.48, "spacegroup": "R3m", "energy_ev_per_atom": -4.922, "lattice": [[1.389, 0.802, 8.491], [-1.389, 0.802, 8.491], [0.000, -1.604, 8.491]], "species": ["Zn", "Cd", "Fe", "Fe"], "fractional_positions": [[0.000, 0.000, 0.000], [0.764, 0.764, 0.764], [0.254, 0.254, 0.254], [0.521, 0.521, 0.521]]}

***

(28)
{"formula": "NaTlIn2Re", "functional": "PBEsol", "state": "optimized geometry", "e_form_ev_per_atom": 1.7153, "density_g_cm3": 7.89, "spacegroup": "P4/mmm", "energy_ev_per_atom": -2.950, "lattice": [[5.134, 0.000, 0.000], [0.000, 5.134, 0.000], [0.000, 0.000, 5.133]], "species": ["Na", "Tl", "In", "In", "Re"], "fractional_positions": [[0.000, 0.000, 0.000], [0.000, 0.000, 0.500], [0.000, 0.500, 0.000], [0.500, 0.000, 0.000], [0.500, 0.500, 0.500]]}

***

(29)
{"formula": "CdFeAg2N", "functional": "PBEsol", "state": "optimized geometry", "density_g_cm3": 8.99, "spacegroup": "P4/mmm", "e_form_raw_ev_per_atom": 0.296, "energy_ev_per_atom": -4.766, "lattice": [[4.596, 0.000, 0.000], [0.000, 4.596, 0.000], [0.000, 0.000, 3.479]], "species": ["Cd", "Fe", "Ag", "Ag", "N"], "fractional_positions": [[0.000, 0.000, 0.000], [0.500, 0.500, 0.000], [0.000, 0.500, 0.500], [0.500, 0.000, 0.500], [0.500, 0.500, 0.500]]}